[1]
This record from Alexandria describes Li2Cd5Ag5 after structural relaxation. The functional is PBE.

Total energy in eV/cell: -24.3
E_form in meV per atom: -137

Cell lengths 4.268, 6.824, 9.257 Å; angles 116.75, 90.00, 108.23 degrees
Element x y z (fractional)
Li (0.085, 0.170, 0.757)
Li (0.915, 0.830, 0.243)
Cd (0.156, 0.312, 0.496)
Cd (0.745, 0.491, 0.755)
Cd (0.255, 0.509, 0.245)
Cd (0.844, 0.688, 0.504)
Cd (0.000, 0.000, 0.000)
Ag (0.500, 0.000, 0.500)
Ag (0.665, 0.331, 0.995)
Ag (0.583, 0.167, 0.250)
Ag (0.417, 0.833, 0.750)
Ag (0.335, 0.669, 0.005)

---

[2]
This record from Alexandria describes Li4CdAg after structural relaxation. The functional is PBE.

Polymorph energy (0 for the lowest one) in eV/atom: 0.006
Total energy in eV/cell: -25.0
E_form in meV per atom: -180

Cell lengths 4.457, 8.590, 8.492 Å; angles 140.46, 90.00, 90.00 degrees
Element x y z (fractional)
Li (0.500, 0.770, 0.609)
Li (0.500, 0.730, 0.891)
Li (0.000, 0.044, 0.372)
Li (0.000, 0.456, 0.128)
Li (0.000, 0.956, 0.628)
Li (0.000, 0.544, 0.872)
Li (0.500, 0.270, 0.109)
Li (0.500, 0.230, 0.391)
Cd (0.500, 0.250, 0.750)
Cd (0.500, 0.750, 0.250)
Ag (0.000, 0.500, 0.500)
Ag (0.000, 0.000, 0.000)

---

[3]
This record from Alexandria describes Li7Cd2Ag after structural relaxation. The functional is PBE.

Polymorph energy (0 for the lowest one) in eV/atom: 0.000
Total energy in eV/cell: -19.1
E_form in meV per atom: -105

Cell lengths 4.595, 4.595, 10.018 Å; angles 90.00, 90.00, 120.00 degrees
Element x y z (fractional)
Li (0.333, 0.667, 0.386)
Li (0.333, 0.667, 0.143)
Li (0.000, 0.000, 0.373)
Li (0.000, 0.000, 0.757)
Li (0.667, 0.333, 0.546)
Li (0.667, 0.333, 0.931)
Li (0.333, 0.667, 0.907)
Cd (0.667, 0.333, 0.235)
Cd (0.333, 0.667, 0.646)
Ag (0.000, 0.000, 0.060)

---

Copy entry 3 word for word.
This record from Alexandria describes Li7Cd2Ag after structural relaxation. The functional is PBE.

Polymorph energy (0 for the lowest one) in eV/atom: 0.000
Total energy in eV/cell: -19.1
E_form in meV per atom: -105

Cell lengths 4.595, 4.595, 10.018 Å; angles 90.00, 90.00, 120.00 degrees
Element x y z (fractional)
Li (0.333, 0.667, 0.386)
Li (0.333, 0.667, 0.143)
Li (0.000, 0.000, 0.373)
Li (0.000, 0.000, 0.757)
Li (0.667, 0.333, 0.546)
Li (0.667, 0.333, 0.931)
Li (0.333, 0.667, 0.907)
Cd (0.667, 0.333, 0.235)
Cd (0.333, 0.667, 0.646)
Ag (0.000, 0.000, 0.060)

---

Q: The lowest E_form belongs to which entry?
A: Li4CdAg

---

Q: Which value of E_form does entry 2 give?
A: -180 meV per atom